Below is crystalline NaMoSe2O8 at its relaxed geometry, with properties calculated at the PBE with a Hubbard U level.

## Properties
**Volume**: 176.46 Å³/f.u.
**Total energy**: -66.0 eV for the cell shown
**Symmetry**: R-3, No. 148

abc: 7.6191 7.6191 7.6191
angles: 41.63 41.63 41.63
Fractional coordinates of all 12 atoms:
Na  0.0000  0.0000  0.0000
Mo  0.5000  0.5000  0.5000
Se  0.2327  0.2327  0.2327
Se  0.7673  0.7673  0.7673
O  0.1502  0.4453  0.7443
O  0.2557  0.8498  0.5547
O  0.3111  0.3111  0.3111
O  0.4453  0.7443  0.1502
O  0.5547  0.2557  0.8498
O  0.6889  0.6889  0.6889
O  0.7443  0.1502  0.4453
O  0.8498  0.5547  0.2557